1.
A plane-wave DFT calculation with GGA-PBE was carried out for a relaxed CaTbEr crystal.

```
6
Lattice="4.8101 0.0000 0.0000 0.0000 4.8101 0.0000 0.0000 0.0000 9.0332" Properties=species:S:1:pos:R:3 pbc="T T T"
Ca 1.2025 3.6076 0.0000
Ca 3.6076 1.2025 0.0000
Tb 1.2025 1.2025 2.8580
Tb 3.6076 3.6076 6.1753
Er 1.2025 1.2025 6.1779
Er 3.6076 3.6076 2.8553
```

As for the crystal system: tetragonal. Its calculated formation energy is 0.38 eV per atom. As for the space-group type: P4/nmm, No. 129. For the total energy, the calculation gives -3.349 eV per atom. As for the distance to the lowest polymorph of the same formula: 316 meV/atom.



2.
A plane-wave DFT calculation with GGA-PBE was carried out for a relaxed Mn2CoAgN crystal.

```
5
Lattice="4.0200 0.0000 0.0000 0.0000 4.0200 0.0000 0.0000 0.0000 3.8035" Properties=species:S:1:pos:R:3 pbc="T T T"
Mn 0.0000 2.0100 0.0000
Mn 2.0100 0.0000 0.0000
Co 0.0000 0.0000 1.9017
Ag 2.0100 2.0100 1.9017
N 0.0000 0.0000 0.0000
```

The uncorrected formation energy comes out at -0.205 eV/f.u. As for the crystal system: tetragonal. As for the space-group type: P4/mmm, No. 123. For the total energy, the calculation gives -7.365 eV per atom.



3.
A plane-wave DFT calculation with GGA-PBE was carried out for a relaxed CeTcMoP2 crystal.

```
5
Lattice="-2.0857 2.0857 4.9631 2.0857 -2.0857 4.9631 2.0857 2.0857 -4.9631" Properties=species:S:1:pos:R:3 pbc="T T T"
Ce 0.0000 0.0000 0.0000
Tc 0.0000 2.0857 2.4816
Mo 2.0857 0.0000 2.4816
P 0.0000 0.0000 3.6739
P 0.0000 0.0000 6.2523
```

As for the crystal system: tetragonal. Its calculated formation energy is -0.79 eV per atom. As for the space-group type: I-4m2, No. 119. For the total energy, the calculation gives -8.379 eV per atom.



4.
A plane-wave DFT calculation with GGA-PBE was carried out for a relaxed CoCuAs2Au crystal.

```
5
Lattice="4.9568 0.0000 0.0000 0.0000 4.9568 0.0000 0.0000 0.0000 4.8136" Properties=species:S:1:pos:R:3 pbc="T T T"
Co 0.0000 0.0000 0.0000
Cu 2.4784 2.4784 0.0000
As 0.0000 2.4784 2.4068
As 2.4784 0.0000 2.4068
Au 0.0000 0.0000 2.4068
```

As for the crystal system: tetragonal. Its calculated formation energy is 1.25 eV per atom. As for the space-group type: P4/mmm, No. 123. For the total energy, the calculation gives -3.506 eV per atom.